VASP calculation (PBE-GGA) on a relaxed structure of Sr3BeB.

Computed properties:
Density ... 2.68 Mg/m³
DFT formation energy ... 0.7104 eV/atom
Space group ... No. 221
Energy above the lowest structure with this stoichiometry ... 0.0 meV per atom
DFT total energy ... -2.38 eV per atom

Cell lengths 5.596, 5.596, 5.596 Å; angles 90.00, 90.00, 90.00 degrees
Atoms (fractional coordinates):
Sr1 0.000 0.000 0.500
Sr2 0.000 0.500 0.000
Sr3 0.500 0.000 0.000
Be1 0.500 0.500 0.500
B1 0.000 0.000 0.000